InPt2Au | GGA-PBEsol | relaxed Values from VASP.

```
&SYSTEM
  ibrav = 0, nat = 4, ntyp = 3
/
ATOMIC_SPECIES
In 114.82 In.upf
Pt 195.08 Pt.upf
Au 196.97 Au.upf
CELL_PARAMETERS angstrom
-2.024 2.024 4.029
2.024 -2.024 4.029
2.024 2.024 -4.029
ATOMIC_POSITIONS crystal
In 0.000 0.000 0.000
Pt 0.250 0.750 0.500
Pt 0.500 0.500 0.000
Au 0.750 0.250 0.500
```

Calculated values
Its symmetry is I-4m2 (119). Its total DFT energy (no corrections) is -21.7 eV for the cell shown. The calculation puts the magnetic moment at 0.000 μB per cell. As for the crystal system: tetragonal.